[1]
Tm2Br2N (GGA-PBE, relaxed); N(E_F) = 2.9 states/eV per cell; M_tot = 0.000 μB per cell; ΔE_f (raw) = -1734 meV per atom
1.0
6.245 0.000 0.000
0.000 3.606 0.000
-2.326 0.000 10.714
Tm Br N
4 4 2
Direct
0.210 0.000 0.117 Tm
0.290 0.500 0.883 Tm
0.710 0.500 0.117 Tm
0.790 0.000 0.883 Tm
0.056 0.000 0.703 Br
0.444 0.500 0.297 Br
0.556 0.500 0.703 Br
0.944 0.000 0.297 Br
0.000 0.500 0.000 N
0.500 0.000 0.000 N

=====

[2]
Mg2HgBr (GGA-PBE, relaxed); N(E_F) = 9.9 states/eV per cell; M_tot = 0.000 μB per cell; ΔE_f (raw) = -28 meV per atom
1.0
7.613 0.000 0.000
0.000 7.613 0.000
0.000 0.000 7.613
Mg Hg Br
8 4 4
Direct
0.000 0.000 0.000 Mg
0.000 0.500 0.500 Mg
0.250 0.250 0.250 Mg
0.250 0.750 0.750 Mg
0.500 0.000 0.500 Mg
0.500 0.500 0.000 Mg
0.750 0.250 0.750 Mg
0.750 0.750 0.250 Mg
0.000 0.000 0.500 Hg
0.000 0.500 0.000 Hg
0.500 0.000 0.000 Hg
0.500 0.500 0.500 Hg
0.250 0.250 0.750 Br
0.250 0.750 0.250 Br
0.750 0.250 0.250 Br
0.750 0.750 0.750 Br

=====

[3]
ScMn3P (GGA-PBE, relaxed); formation energy from the elements = 1.502 eV/atom; N(E_F) = 3.8 states/eV per cell; M_tot = 9.933 μB per cell
1.0
4.616 0.000 0.000
0.000 4.616 0.000
0.000 0.000 4.616
Sc Mn P
1 3 1
Direct
0.000 0.000 0.000 Sc
0.000 0.000 0.500 Mn
0.000 0.500 0.000 Mn
0.500 0.000 0.000 Mn
0.500 0.500 0.500 P

=====

[4]
Ta2AgPt (GGA-PBE, relaxed); formation energy from the elements = -0.006 eV/atom; N(E_F) = 14.9 states/eV per cell; M_tot = 0.002 μB per cell
1.0
2.878 0.000 0.000
-1.439 2.492 0.000
0.000 0.000 29.297
Ta Ag Pt
6 3 3
Direct
0.000 0.000 0.000 Ta
0.000 0.000 0.245 Ta
0.333 0.667 0.667 Ta
0.333 0.667 0.912 Ta
0.667 0.333 0.333 Ta
0.667 0.333 0.578 Ta
0.000 0.000 0.752 Ag
0.333 0.667 0.418 Ag
0.667 0.333 0.085 Ag
0.000 0.000 0.502 Pt
0.333 0.667 0.169 Pt
0.667 0.333 0.836 Pt

=====

[5]
Li2SiAu4 (GGA-PBE, relaxed); N(E_F) = 3.9 states/eV per cell; M_tot = 0.000 μB per cell; ΔE_f (raw) = -324 meV per atom
1.0
5.871 0.000 0.000
0.000 5.871 0.000
0.000 0.000 6.734
Li Si Au
4 2 8
Direct
0.000 0.500 0.000 Li
0.000 0.500 0.500 Li
0.500 0.000 0.000 Li
0.500 0.000 0.500 Li
0.000 0.000 0.000 Si
0.500 0.500 0.500 Si
0.250 0.250 0.250 Au
0.250 0.250 0.750 Au
0.250 0.750 0.250 Au
0.250 0.750 0.750 Au
0.750 0.250 0.250 Au
0.750 0.250 0.750 Au
0.750 0.750 0.250 Au
0.750 0.750 0.750 Au

=====

[6]
Nd2CuS (GGA-PBE, relaxed); N(E_F) = 10.0 states/eV per cell; M_tot = 0.000 μB per cell; ΔE_f (raw) = -949 meV per atom
1.0
3.984 0.000 0.000
-1.992 3.450 0.000
0.000 0.000 21.921
Nd Cu S
6 3 3
Direct
0.000 0.000 0.000 Nd
0.000 0.000 0.178 Nd
0.333 0.667 0.667 Nd
0.333 0.667 0.845 Nd
0.667 0.333 0.333 Nd
0.667 0.333 0.511 Nd
0.000 0.000 0.422 Cu
0.333 0.667 0.088 Cu
0.667 0.333 0.755 Cu
0.000 0.000 0.590 S
0.333 0.667 0.257 S
0.667 0.333 0.924 S